[1]
Material: LaMoOs2
Method: DFT, GGA-PBE
State: relaxed

Cell lengths 2.832, 3.744, 7.252 Å; angles 90.00, 90.00, 90.00 degrees
Positions (direct):
1 La 0.000 0.000 0.490
2 Mo 0.500 0.500 0.816
3 Os 0.000 0.000 0.015
4 Os 0.500 0.500 0.178

Formation energy from the elements = 1.70 eV/f.u.
Space group = Pmm2 (25)
Spin magnetization = 0.00 μB per formula unit
Distance to the lowest polymorph of the same formula = 0.246 eV/atom
VASP energy = -36.52 eV for the cell shown

***

[2]
Material: LaMoOs2
Method: DFT, GGA-PBE
State: relaxed

Cell lengths 4.654, 4.654, 4.654 Å; angles 120.08, 120.08, 89.86 degrees
Site moments in Bohr magnetons follow the coordinates.
Positions (direct):
1 La 0.500 0.500 0.000  0.02
2 Mo 0.750 0.250 0.500  -0.01
3 Os 0.000 0.000 0.000  0.39
4 Os 0.250 0.750 0.500  0.49

Formation energy from the elements = 2.59 eV/f.u.
Space group = I-4m2 (119)
Spin magnetization = 0.93 μB per formula unit
Distance to the lowest polymorph of the same formula = 0.467 eV/atom
VASP energy = -35.63 eV for the cell shown

***

[3]
Material: LaMoOs2
Method: DFT, GGA-PBE
State: relaxed

Cell lengths 2.882, 2.882, 9.296 Å; angles 90.00, 90.00, 113.68 degrees
Positions (direct):
1 La 0.500 0.500 0.250
2 Mo 0.500 0.500 0.750
3 Os 0.000 0.000 0.973
4 Os 0.000 0.000 0.527

Formation energy from the elements = 2.12 eV/f.u.
Space group = Cmmm (65)
Spin magnetization = 0.00 μB per formula unit
Distance to the lowest polymorph of the same formula = 0.350 eV/atom
VASP energy = -36.10 eV for the cell shown

***

Which of these has the lowest distance to the lowest polymorph of the same formula? number 1